Entry 1:
## Ba2AgSnS5 (GGA-PBE)

Data for an optimized crystal structure of Ba2AgSnS5.

Summary:
- Formation energy (no corrections): -23.269 kcal/mol of atoms
- Total magnetic moment: 0.00 μB per formula unit

POSCAR file:
```
Ba2AgSnS5
1.0
2.015 -9.495 0.000
2.015 9.495 0.000
0.000 0.000 12.540
Ba Ag Sn S
4 2 2 10
Direct
0.120 0.880 0.500
0.125 0.875 0.105
0.875 0.125 0.605
0.880 0.120 0.000
0.449 0.551 0.239
0.551 0.449 0.739
0.218 0.782 0.811
0.782 0.218 0.311
0.083 0.917 0.838
0.284 0.716 0.452
0.293 0.707 0.169
0.350 0.650 0.804
0.499 0.501 0.564
0.501 0.499 0.064
0.650 0.350 0.304
0.707 0.293 0.669
0.716 0.284 0.952
0.917 0.083 0.338
```

Entry 2:
## BaTa2Ag2S7 (GGA-PBE)

Data for an optimized crystal structure of BaTa2Ag2S7.

Summary:
- Formation energy (no corrections): -19.342 kcal/mol of atoms
- Total magnetic moment: 0.00 μB per formula unit

POSCAR file:
```
BaTa2Ag2S7
1.0
3.484 2.011 10.396
-3.484 2.011 10.396
0.000 -4.023 10.396
Ba Ta Ag S
1 2 2 7
Direct
0.000 0.000 0.000
0.425 0.425 0.425
0.575 0.575 0.575
0.258 0.258 0.258
0.742 0.742 0.742
0.099 0.391 0.713
0.287 0.609 0.901
0.391 0.713 0.099
0.500 0.500 0.500
0.609 0.901 0.287
0.713 0.099 0.391
0.901 0.287 0.609
```

Entry 3:
## BaTaAgS4 (GGA-PBE)

Data for an optimized crystal structure of BaTaAgS4.

Summary:
- Formation energy (no corrections): -25.030 kcal/mol of atoms
- Total magnetic moment: 0.00 μB per formula unit

POSCAR file:
```
BaTaAgS4
1.0
6.146 0.000 0.000
0.000 8.013 0.000
-1.900 0.000 8.181
Ba Ta Ag S
2 2 2 8
Direct
0.224 0.250 0.099
0.776 0.750 0.901
0.206 0.750 0.299
0.794 0.250 0.701
0.293 0.250 0.660
0.707 0.750 0.340
0.027 0.022 0.737
0.027 0.478 0.737
0.364 0.750 0.075
0.461 0.750 0.542
0.539 0.250 0.458
0.636 0.250 0.925
0.973 0.522 0.263
0.973 0.978 0.263
```

Entry 4:
## BaTbAgS3 (GGA-PBE)

Data for an optimized crystal structure of BaTbAgS3.

Summary:
- Formation energy (no corrections): -37.189 kcal/mol of atoms
- Total magnetic moment: 0.00 μB per formula unit

POSCAR file:
```
BaTbAgS3
1.0
8.848 -2.045 0.000
8.848 2.045 0.000
-1.897 0.000 8.378
Ba Tb Ag S
2 2 2 6
Direct
0.135 0.135 0.072
0.865 0.865 0.928
0.164 0.164 0.581
0.836 0.836 0.419
0.477 0.477 0.290
0.523 0.523 0.710
0.000 0.000 0.500
0.323 0.323 0.196
0.325 0.325 0.631
0.500 0.500 0.000
0.675 0.675 0.369
0.677 0.677 0.804
```

Entry 5:
## Ba2TbAgS4 (GGA-PBE)

Data for an optimized crystal structure of Ba2TbAgS4.

Summary:
- Formation energy (no corrections): -36.733 kcal/mol of atoms
- Total magnetic moment: 0.00 μB per formula unit

POSCAR file:
```
Ba2TbAgS4
1.0
7.340 0.000 0.000
0.000 4.254 0.000
-2.625 0.000 6.991
Ba Tb Ag S
2 1 1 4
Direct
0.000 0.000 0.000
0.000 0.500 0.500
0.500 0.000 0.500
0.500 0.500 0.000
0.280 0.500 0.277
0.290 0.000 0.750
0.710 0.000 0.250
0.720 0.500 0.723
```

Entry 6:
## BaTbAgS3 (GGA-PBE)

Data for an optimized crystal structure of BaTbAgS3.

Summary:
- Formation energy (no corrections): -37.376 kcal/mol of atoms
- Total magnetic moment: 0.00 μB per formula unit

POSCAR file:
```
BaTbAgS3
1.0
8.482 0.000 0.000
0.000 4.129 0.000
-2.507 0.000 8.852
Ba Tb Ag S
2 2 2 6
Direct
0.204 0.250 0.244
0.796 0.750 0.756
0.325 0.750 0.840
0.675 0.250 0.160
0.093 0.250 0.592
0.907 0.750 0.408
0.112 0.250 0.872
0.246 0.750 0.526
0.450 0.750 0.152
0.550 0.250 0.848
0.754 0.250 0.474
0.888 0.750 0.128
```

Entry 7:
## BaAgTe2S4 (GGA-PBE)

Data for an optimized crystal structure of BaAgTe2S4.

Summary:
- Formation energy (no corrections): -11.241 kcal/mol of atoms
- Total magnetic moment: 0.00 μB per formula unit

POSCAR file:
```
BaAgTe2S4
1.0
7.260 0.000 0.000
0.000 7.260 0.000
0.000 0.000 7.957
Ba Ag Te S
2 2 4 8
Direct
0.000 0.000 0.000
0.500 0.500 0.500
0.000 0.000 0.500
0.500 0.500 0.000
0.000 0.500 0.250
0.000 0.500 0.750
0.500 0.000 0.250
0.500 0.000 0.750
0.209 0.209 0.681
0.209 0.791 0.319
0.291 0.291 0.181
0.291 0.709 0.819
0.709 0.291 0.819
0.709 0.709 0.181
0.791 0.209 0.319
0.791 0.791 0.681
```

Entry 8:
## Ba2Ag2TeS6 (GGA-PBE)

Data for an optimized crystal structure of Ba2Ag2TeS6.

Summary:
- Formation energy (no corrections): -13.637 kcal/mol of atoms
- Total magnetic moment: 0.00 μB per formula unit

POSCAR file:
```
Ba2Ag2TeS6
1.0
3.752 2.166 6.195
-3.752 2.166 6.195
0.000 -4.332 6.195
Ba Ag Te S
2 2 1 6
Direct
0.226 0.226 0.226
0.774 0.774 0.774
0.416 0.416 0.416
0.584 0.584 0.584
0.000 0.000 0.000
0.209 0.763 0.763
0.237 0.237 0.791
0.237 0.791 0.237
0.763 0.209 0.763
0.763 0.763 0.209
0.791 0.237 0.237
```

Entry 9:
## BaAgTeS3 (GGA-PBE)

Data for an optimized crystal structure of BaAgTeS3.

Summary:
- Formation energy (no corrections): -14.319 kcal/mol of atoms
- Total magnetic moment: 0.00 μB per formula unit

POSCAR file:
```
BaAgTeS3
1.0
7.569 0.000 0.000
0.000 4.493 0.000
-2.981 0.000 9.381
Ba Ag Te S
2 2 2 6
Direct
0.224 0.250 0.200
0.776 0.750 0.800
0.393 0.250 0.906
0.607 0.750 0.094
0.225 0.750 0.622
0.775 0.250 0.378
0.080 0.750 0.370
0.231 0.750 0.964
0.407 0.250 0.639
0.593 0.750 0.361
0.769 0.250 0.036
0.920 0.250 0.630
```

Entry 10:
## BaAg2TeS (GGA-PBE)

Data for an optimized crystal structure of BaAg2TeS.

Summary:
- Formation energy (no corrections): -17.035 kcal/mol of atoms
- Total magnetic moment: 0.00 μB per formula unit

POSCAR file:
```
BaAg2TeS
1.0
-3.430 3.430 6.375
3.430 -3.430 6.375
3.430 3.430 -6.375
Ba Ag Te S
2 4 2 2
Direct
0.000 0.000 0.000
0.500 0.500 0.000
0.050 0.550 0.162
0.388 0.888 0.838
0.550 0.388 0.500
0.888 0.050 0.500
0.034 0.534 0.500
0.534 0.034 0.500
0.259 0.259 0.000
0.759 0.759 0.000
```

Entry 11:
## Ba2ThAgS5 (GGA-PBE)

Data for an optimized crystal structure of Ba2ThAgS5.

Summary:
- Formation energy (no corrections): -36.101 kcal/mol of atoms
- Total magnetic moment: 0.00 μB per formula unit

POSCAR file:
```
Ba2ThAgS5
1.0
2.108 -9.190 0.000
2.108 9.190 0.000
0.000 0.000 12.870
Ba Th Ag S
4 2 2 10
Direct
0.115 0.885 0.500
0.124 0.876 0.137
0.876 0.124 0.637
0.885 0.115 0.000
0.199 0.801 0.827
0.801 0.199 0.327
0.457 0.543 0.261
0.543 0.457 0.761
0.043 0.957 0.859
0.295 0.705 0.470
0.307 0.693 0.182
0.347 0.653 0.821
0.498 0.502 0.583
0.502 0.498 0.083
0.653 0.347 0.321
0.693 0.307 0.682
0.705 0.295 0.970
0.957 0.043 0.359
```

Entry 12:
## Ba3TiAg2S6 (GGA-PBE)

Data for an optimized crystal structure of Ba3TiAg2S6.

Summary:
- Formation energy (no corrections): -27.077 kcal/mol of atoms
- Total magnetic moment: 0.00 μB per formula unit

POSCAR file:
```
Ba3TiAg2S6
1.0
7.213 0.000 0.000
-3.607 6.247 0.000
0.000 0.000 7.701
Ba Ti Ag S
3 1 2 6
Direct
0.000 0.000 0.000
0.333 0.667 0.617
0.667 0.333 0.383
0.000 0.000 0.500
0.333 0.667 0.157
0.667 0.333 0.843
0.159 0.318 0.312
0.159 0.841 0.312
0.318 0.159 0.688
0.682 0.841 0.312
0.841 0.159 0.688
0.841 0.682 0.688
```

Entry 13:
## Ba2TlAgS (GGA-PBE)

Data for an optimized crystal structure of Ba2TlAgS.

Summary:
- Formation energy (no corrections): -4.578 kcal/mol of atoms
- Total magnetic moment: 0.00 μB per formula unit

POSCAR file:
```
Ba2TlAgS
1.0
6.437 0.000 0.000
0.000 6.437 0.000
0.000 0.000 5.144
Ba Tl Ag S
2 1 1 1
Direct
0.000 0.500 0.000
0.500 0.000 0.000
0.000 0.000 0.000
0.000 0.000 0.500
0.500 0.500 0.500
```

Entry 14:
## Ba2TlAgS4 (GGA-PBE)

Data for an optimized crystal structure of Ba2TlAgS4.

Summary:
- Formation energy (no corrections): -22.065 kcal/mol of atoms
- Total magnetic moment: 0.00 μB per formula unit

POSCAR file:
```
Ba2TlAgS4
1.0
-4.491 4.565 5.572
4.491 -4.565 5.572
4.491 4.565 -5.572
Ba Tl Ag S
4 2 2 8
Direct
0.000 0.000 0.000
0.500 0.000 0.000
0.500 0.000 0.500
0.500 0.500 0.500
0.000 0.000 0.500
0.000 0.500 0.000
0.000 0.500 0.500
0.500 0.500 0.000
0.222 0.214 0.492
0.222 0.730 0.008
0.223 0.725 0.498
0.273 0.275 0.998
0.727 0.725 0.002
0.777 0.275 0.502
0.778 0.270 0.992
0.778 0.786 0.508
```

Entry 15:
## Ba2TmAgS4 (GGA-PBE)

Data for an optimized crystal structure of Ba2TmAgS4.

Summary:
- Formation energy (no corrections): -36.490 kcal/mol of atoms
- Total magnetic moment: 0.00 μB per formula unit

POSCAR file:
```
Ba2TmAgS4
1.0
7.280 0.000 0.000
0.000 4.221 0.000
-2.620 0.000 6.975
Ba Tm Ag S
2 1 1 4
Direct
0.000 0.000 0.000
0.000 0.500 0.500
0.500 0.000 0.500
0.500 0.500 0.000
0.283 0.500 0.280
0.294 0.000 0.749
0.706 0.000 0.251
0.717 0.500 0.720
```

Entry 16:
## BaTm2AgS4 (GGA-PBE)

Data for an optimized crystal structure of BaTm2AgS4.

Summary:
- Formation energy (no corrections): -37.835 kcal/mol of atoms
- Total magnetic moment: 0.00 μB per formula unit

POSCAR file:
```
BaTm2AgS4
1.0
2.039 -6.690 0.000
2.039 6.690 0.000
0.000 0.000 13.774
Ba Tm Ag S
2 4 2 8
Direct
0.127 0.873 0.750
0.873 0.127 0.250
0.376 0.624 0.557
0.376 0.624 0.943
0.624 0.376 0.057
0.624 0.376 0.443
0.149 0.851 0.250
0.851 0.149 0.750
0.000 0.000 0.000
0.000 0.000 0.500
0.264 0.736 0.105
0.264 0.736 0.395
0.454 0.546 0.750
0.546 0.454 0.250
0.736 0.264 0.605
0.736 0.264 0.895
```

Entry 17:
## Ba3UAgS6 (GGA-PBE)

Data for an optimized crystal structure of Ba3UAgS6.

Summary:
- Formation energy (no corrections): -37.563 kcal/mol of atoms
- Total magnetic moment: 1.00 μB per formula unit

POSCAR file:
```
Ba3UAgS6
1.0
6.166 3.560 4.685
-6.166 3.560 4.685
0.000 -7.120 4.685
Ba U Ag S
6 2 2 12
Direct
0.123 0.750 0.377
0.250 0.623 0.877
0.377 0.123 0.750
0.623 0.877 0.250
0.750 0.377 0.123
0.877 0.250 0.623
0.000 0.000 0.000
0.500 0.500 0.500
0.250 0.250 0.250
0.750 0.750 0.750
0.049 0.916 0.707
0.084 0.293 0.951
0.207 0.416 0.549
0.293 0.951 0.084
0.416 0.549 0.207
0.451 0.793 0.584
0.549 0.207 0.416
0.584 0.451 0.793
0.707 0.049 0.916
0.793 0.584 0.451
0.916 0.707 0.049
0.951 0.084 0.293
```

Entry 18:
## BaU2Ag2S7 (GGA-PBE)

Data for an optimized crystal structure of BaU2Ag2S7.

Summary:
- Formation energy (no corrections): -25.468 kcal/mol of atoms
- Total magnetic moment: 2.02 μB per formula unit

POSCAR file:
```
BaU2Ag2S7
1.0
-2.601 2.632 11.019
2.601 -2.632 11.019
2.601 2.632 -11.019
Ba U Ag S
1 2 2 7
Direct
0.000 0.000 0.000
0.381 0.381 0.000
0.619 0.619 0.000
0.224 0.724 0.500
0.776 0.276 0.500
0.105 0.605 0.500
0.266 0.266 0.000
0.397 0.897 0.500
0.500 0.500 0.000
0.603 0.103 0.500
0.734 0.734 0.000
0.895 0.395 0.500
```

Entry 19:
## BaUAg2S6 (GGA-PBE)

Data for an optimized crystal structure of BaUAg2S6.

Summary:
- Formation energy (no corrections): -18.224 kcal/mol of atoms
- Total magnetic moment: 0.00 μB per formula unit

POSCAR file:
```
BaUAg2S6
1.0
6.587 0.000 0.000
2.821 6.012 0.000
2.822 2.162 6.339
Ba U Ag S
1 1 2 6
Direct
0.000 0.000 0.000
0.506 0.549 0.403
0.195 0.200 0.401
0.700 0.734 0.834
0.116 0.809 0.592
0.365 0.511 0.139
0.420 0.154 0.631
0.518 0.942 0.110
0.727 0.480 0.648
0.918 0.389 0.175
```

Entry 20:
## Ba3U2AgS9 (GGA-PBE)

Data for an optimized crystal structure of Ba3U2AgS9.

Summary:
- Formation energy (no corrections): -33.639 kcal/mol of atoms
- Total magnetic moment: 1.01 μB per formula unit

POSCAR file:
```
Ba3U2AgS9
1.0
7.260 0.000 0.000
-3.630 6.287 0.000
0.000 0.000 9.000
Ba U Ag S
3 2 1 9
Direct
0.000 0.000 0.000
0.333 0.667 0.643
0.667 0.333 0.357
0.333 0.667 0.174
0.667 0.333 0.826
0.000 0.000 0.500
0.000 0.500 0.000
0.169 0.337 0.329
0.169 0.831 0.329
0.337 0.169 0.671
0.500 0.000 0.000
0.500 0.500 0.000
0.663 0.831 0.329
0.831 0.169 0.671
0.831 0.663 0.671
```

Let's list electronic total energy in order: -80.84; -70.29; -81.47; -62.93; -40.58; -63.02; -62.93; -43.96; -48.05; -37.18; -97.69; -58.22; -14.18; -66.45; -40.34; -86.70; -125.18; -72.35; -51.58; -90.22 eV for the cell shown.